Record 1
Density functional theory data (PBE-GGA) for a relaxed La4Pm5Nd2 crystal.

a b c (Å): 12.7598 12.7598 12.7598
angles (deg): 163.86 136.19 46.99
Atoms (fractional coordinates):
1 La 0.0934 0.0934 0.0000
2 La 0.2083 0.5000 0.7083
3 La 0.7917 0.5000 0.2917
4 La 0.9066 0.9066 0.0000
5 Pm 0.1562 0.3524 0.8038
6 Pm 0.4513 0.6476 0.8038
7 Pm 0.5000 0.0000 0.5000
8 Pm 0.5487 0.3524 0.1962
9 Pm 0.8438 0.6476 0.1962
10 Nd 0.2285 0.2285 0.0000
11 Nd 0.7715 0.7715 0.0000

Summary:
**SG**: Immm
**Crystal system**: orthorhombic
**Formation energy from the elements**: 0.2203 eV per atom
**ΔE to the lowest computed polymorph**: 151 meV/atom

Record 2
Density functional theory data (PBE-GGA) for a relaxed Mg2ReSi crystal.

a b c (Å): 2.7507 2.7507 8.7756
angles (deg): 90.00 90.00 99.55
Atoms (fractional coordinates):
1 Mg 0.0000 0.0000 0.2480
2 Mg 0.0000 0.0000 0.7520
3 Re 0.5000 0.5000 0.0000
4 Si 0.5000 0.5000 0.5000

Summary:
**E_form (uncorrected)**: 0.2726 eV per atom
**SG**: Cmmm
**Crystal system**: orthorhombic

Record 3
Density functional theory data (PBE-GGA) for a relaxed TbNiSbPd crystal.

a b c (Å): 4.7209 4.7209 4.7209
angles (deg): 60.00 60.00 60.00
Atoms (fractional coordinates):
1 Tb 0.0000 0.0000 0.0000
2 Ni 0.7500 0.7500 0.7500
3 Sb 0.5000 0.5000 0.5000
4 Pd 0.2500 0.2500 0.2500

Summary:
**E_form (uncorrected)**: -0.6393 eV per atom
**SG**: F-43m
**Crystal system**: cubic

Record 4
Density functional theory data (PBE-GGA) for a relaxed Pm2CuSn crystal.

a b c (Å): 3.5674 3.5674 7.9836
angles (deg): 90.00 90.00 90.00
Atoms (fractional coordinates):
1 Pm 0.0000 0.0000 0.2273
2 Pm 0.0000 0.0000 0.7727
3 Cu 0.5000 0.5000 0.0000
4 Sn 0.5000 0.5000 0.5000

Summary:
**SG**: P4/mmm
**Crystal system**: tetragonal
**Formation energy from the elements**: -0.4142 eV per atom
**ΔE to the lowest computed polymorph**: 12 meV/atom

Record 5
Density functional theory data (PBE-GGA) for a relaxed YVCl2 crystal.

a b c (Å): 9.0857 9.0857 9.0857
angles (deg): 150.32 150.32 42.48
Atoms (fractional coordinates):
1 Y 0.0000 0.0000 0.0000
2 Y 0.7500 0.2500 0.5000
3 V 0.2500 0.7500 0.5000
4 V 0.5000 0.5000 0.0000
5 Cl 0.1429 0.6250 0.0179
6 Cl 0.3750 0.3929 0.5179
7 Cl 0.6071 0.1250 0.9821
8 Cl 0.8750 0.8571 0.4821

Summary:
**E_form (uncorrected)**: -0.5806 eV per atom
**SG**: I-42d
**Crystal system**: tetragonal
**ΔE to the lowest computed polymorph**: 122 meV/atom

Record 6
Density functional theory data (PBE-GGA) for a relaxed ScTi2BeH crystal.

a b c (Å): 4.0245 4.0245 4.1997
angles (deg): 90.00 90.00 90.00
Atoms (fractional coordinates):
1 Sc 0.0000 0.0000 0.0000
2 Ti 0.0000 0.5000 0.5000
3 Ti 0.5000 0.0000 0.5000
4 Be 0.5000 0.5000 0.0000
5 H 0.0000 0.0000 0.5000

Summary:
**Final energy**: -5.909 eV per atom
**SG**: P4/mmm
**Crystal system**: tetragonal

DOS(E_F) / states/eV/cell: 15.66, 1.85, 2.02, 2.68, 5.41, 5.78
Magnetization / μB/atom: 0.000, 0.000, 0.000, 0.000, 1.010, 0.000